Material: PrCuAg4
Method: DFT, PBE
State: relaxed

Cell and atoms, written as POSCAR:
```
PrCuAg4
1.0
0.0000 3.9380 3.9380
3.9380 0.0000 3.9380
3.9380 3.9380 0.0000
Pr Cu Ag
1 1 4
direct
0.0000 0.0000 0.0000
0.2500 0.2500 0.2500
0.1276 0.6241 0.6241
0.6241 0.1276 0.6241
0.6241 0.6241 0.1276
0.6241 0.6241 0.6241
```

Summary:
SG   F-43m, No. 216
ΔH_f (0 K)   -0.028 eV/atom
N(E_F)   6.08 states/eV per cell
Size of the total moment   0.0000 μB/atom